A relaxed structure of Mo2H2Pd, computed with PBE.

Values from the calculation:
V ... 10.508 Å³ per atom

a b c (Å): 6.160 6.160 2.769
angles (deg): 90.00 90.00 90.00
Fractional coordinates of all 10 atoms:
H: 0.148 0.352 0.000
Mo: 0.357 0.143 0.500
H: 0.648 0.148 0.000
Mo: 0.857 0.357 0.500
Pd: 0.500 0.500 0.000
Mo: 0.643 0.857 0.500
H: 0.852 0.648 0.000
H: 0.352 0.852 0.000
Mo: 0.143 0.643 0.500
Pd: 0.000 0.000 0.000

=====

A relaxed structure of MoH2Pd, computed with PBE.

Values from the calculation:
V ... 9.506 Å³ per atom

a b c (Å): 4.238 4.238 5.187
angles (deg): 65.89 65.89 90.00
Fractional coordinates of all 8 atoms:
H: 0.875 0.880 0.750
Mo: 0.250 0.750 0.500
H: 0.375 0.370 0.750
H: 0.630 0.125 0.250
H: 0.120 0.625 0.250
Pd: 0.000 0.000 0.000
Pd: 0.750 0.250 0.500
Mo: 0.500 0.500 0.000

=====

Result set for VASP energy: -64.3; -44.5 eV per cell, one per record in the order listed.
Result set for relative energy among the computed polymorphs: 13.9; 7.9 kJ per mole of atoms, one per record in the order listed.